No. 1
Density functional theory data (PBE-GGA) for an optimized crystal structure of Na2ZnPd2.

Lattice parameters (Å, degrees): 3.597 3.597 14.268 90.00 90.00 90.00
Space group I4/mmm (No. 139)
One atom of each set of equivalent atoms:
Na 0.000 0.500 0.250 x4
Zn 0.000 0.000 0.000 x2
Pd 0.000 0.000 0.409 x4

The energy above the most stable polymorph in this dataset comes out at 400.2 meV per atom.

No. 2
Density functional theory data (PBE-GGA) for an optimized crystal structure of Al2ZnCd.

Lattice parameters (Å, degrees): 4.071 4.071 4.394 90.00 90.00 90.00
Space group P4/mmm (No. 123)
One atom of each set of equivalent atoms:
Al 0.000 0.500 0.000 x2
Zn 0.000 0.000 0.500 x1
Cd 0.500 0.500 0.500 x1

The energy above the most stable polymorph in this dataset comes out at 82.4 meV per atom.

Number 1: calculated volume 18.5 Å³ per atom. Number 2: calculated volume 18.2 Å³ per atom.